The following is a DFT calculation (GGA-PBE) of a relaxed structure of Tb2YTl4.

Cell: 6.4329 5.0432 6.5920 Å, 90.00 99.46 90.00°
Space group Pm (No. 6)
Unique sites:
Tb 0.0000 0.0000 0.0000 (multiplicity 1)
Tb 0.4168 0.0000 0.5502 (multiplicity 1)
Y 0.7068 0.5000 0.2738 (multiplicity 1)
Tl 0.2071 0.5000 0.2766 (multiplicity 1)
Tl 0.2077 0.5000 0.7764 (multiplicity 1)
Tl 0.5025 0.0000 0.0382 (multiplicity 1)
Tl 0.9138 0.0000 0.5108 (multiplicity 1)

Values from the calculation:
DOS(E_F)	5.01	states/eV per cell
magnetic moment	0.00	μB per formula unit
crystal system	monoclinic
polymorph energy (0 for the lowest one)	61	meV per atom


The following is a DFT calculation (GGA-PBE) of a relaxed structure of TbY6Tl3.

Cell: 11.3607 14.2108 7.9144 Å, 90.00 90.00 90.00°
Space group Cmc2_1 (No. 36)
Unique sites:
Tb 0.0000 0.2190 0.0000 (multiplicity 4)
Y 0.0000 0.0286 0.3437 (multiplicity 4)
Y 0.0000 0.2577 0.5151 (multiplicity 4)
Y 0.1820 0.4601 0.4679 (multiplicity 8)
Y 0.2456 0.1930 0.2930 (multiplicity 8)
Tl 0.0000 0.4150 0.7771 (multiplicity 4)
Tl 0.1745 0.1086 0.6577 (multiplicity 8)

Values from the calculation:
uncorrected energy	-5.15	eV/atom
DOS(E_F)	42.85	states/eV per cell
magnetic moment	0.00	μB per formula unit
crystal system	orthorhombic